# SrRePbO6 PBE relaxed
# V (Å³ per atom): 16.0
# DOS at the Fermi energy (states/eV/cell): 4.8
# Total DFT energy (no corrections) (Ry per atom): -0.51399
# Total moment (μB per cell): 0.0
data_SrRePbO6
_space_group_name_H-M_alt 'P 3 1 2'
_space_group_IT_number 149
_space_group_name_Hall 'P 3 2'
_cell_length_a 5.6562
_cell_length_b 5.6562
_cell_length_c 5.1960
_cell_angle_alpha 90.00
_cell_angle_beta 90.00
_cell_angle_gamma 120.00
loop_
_atom_site_label
_atom_site_type_symbol
_atom_site_fract_x
_atom_site_fract_y
_atom_site_fract_z
_atom_site_occupancy
Sr1 Sr 0.0000 0.0000 0.0000 1
Re1 Re 0.6667 0.3333 0.5000 1
Pb1 Pb 0.3333 0.6667 0.5000 1
O1 O 0.3970 0.0487 0.7123 1